5
Lattice="3.760 0.000 0.000 0.000 3.760 0.000 0.000 0.000 5.322" Properties=species:S:1:pos:R:3 comment="GGA+U CrPRhO2, relaxed" dft_energy_ev_per_cell=-30.695 relative_energy_mev_per_atom=200 total_magnetization_mub_per_fu=3.913 n_ef_per_ev_cell=2.16 pbc="T T T"
Cr 1.880 1.880 2.661
Rh 0.000 0.000 0.000
O 0.000 1.880 0.000
O 1.880 0.000 0.000
P 0.000 0.000 2.661